No. 1
The following is a DFT calculation (PBE) of an optimized crystal structure of MnIn2.

```
MnIn2
1.0
1.985 4.610 6.138
-5.685 -5.466 0.823
2.443 -2.390 1.005
In Mn
6 3
Direct
0.279 0.000 0.000
0.721 0.721 0.000
0.000 0.615 0.500
0.385 0.385 0.500
0.615 0.000 0.500
0.000 0.279 0.000
0.333 0.667 0.000
0.667 0.333 0.000
0.000 0.000 0.500
```

DOS at the Fermi energy ... 2.0 states/eV/f.u.
Formation energy from the elements ... 0.285 eV per atom
Size of the total moment ... 11.2 μB/cell

=====

No. 2
The following is a DFT calculation (PBE) of an optimized crystal structure of CaAc3Pm.

```
CaAc3Pm
1.0
6.778 0.000 0.000
0.000 9.387 0.000
0.000 0.000 13.610
Ca Pm Ac
4 4 12
Direct
0.250 0.000 0.703
0.250 0.500 0.797
0.750 0.500 0.203
0.750 0.000 0.297
0.250 0.500 0.056
0.250 0.000 0.444
0.750 0.000 0.556
0.750 0.500 0.944
0.088 0.326 0.556
0.325 0.750 0.250
0.912 0.826 0.056
0.588 0.326 0.444
0.088 0.174 0.944
0.412 0.826 0.944
0.675 0.250 0.750
0.412 0.674 0.556
0.175 0.250 0.250
0.825 0.750 0.750
0.588 0.174 0.056
0.912 0.674 0.444
```

DOS at the Fermi energy ... 7.6 states/eV/f.u.
Excess energy over the best structure of this formula in the dataset ... 0.029 eV/atom
Formation energy from the elements ... 0.179 eV per atom
Size of the total moment ... 0.0 μB/cell

=====

No. 3
The following is a DFT calculation (PBE) of an optimized crystal structure of Pr2Sm15Tm2.

```
Pr2Sm15Tm2
1.0
1.639 3.698 7.895
-3.441 -5.958 5.600
7.208 -4.427 2.671
Sm Tm Pr
15 2 2
Direct
0.500 0.000 0.000
0.301 0.000 0.699
0.000 0.301 0.699
0.000 0.000 0.500
0.383 0.383 0.843
0.301 0.699 0.000
0.157 0.617 0.617
0.843 0.383 0.383
0.617 0.617 0.157
0.699 0.301 0.000
0.000 0.500 0.000
0.000 0.699 0.301
0.617 0.157 0.617
0.383 0.843 0.383
0.699 0.000 0.301
0.686 0.686 0.686
0.314 0.314 0.314
0.091 0.091 0.091
0.909 0.909 0.909
```

DOS at the Fermi energy ... 29.4 states/eV/f.u.
Formation energy from the elements ... 0.287 eV per atom
Size of the total moment ... 0.0 μB/cell

=====

No. 4
The following is a DFT calculation (PBE) of an optimized crystal structure of NbCdCo2Au.

```
NbCdCo2Au
1.0
-4.114 -2.098 -0.138
1.909 -3.560 -2.782
1.090 -2.387 3.803
Co Au Nb Cd
2 1 1 1
Direct
0.000 0.000 0.500
0.500 0.000 0.000
0.000 0.500 0.000
0.500 0.500 0.500
0.000 0.000 0.000
```

DOS at the Fermi energy ... 5.2 states/eV/f.u.
Formation energy from the elements ... 1.633 eV per atom
Size of the total moment ... 4.9 μB/cell

=====

No. 5
The following is a DFT calculation (PBE) of an optimized crystal structure of Cs4GeO4.

```
Cs4GeO4
1.0
-4.350 -1.740 3.667
2.106 -2.281 6.241
-2.594 4.991 4.117
O Ge Cs
4 1 4
Direct
0.939 0.861 0.261
0.800 0.261 0.139
0.061 0.139 0.739
0.200 0.739 0.861
0.000 0.000 0.000
0.201 0.417 0.181
0.382 0.819 0.417
0.799 0.583 0.819
0.618 0.181 0.583
```

Excess energy over the best structure of this formula in the dataset ... 0.283 eV/atom
Size of the total moment ... 0.0 μB/cell

=====

No. 6
The following is a DFT calculation (PBE) of an optimized crystal structure of HgMo2Ru.

```
HgMo2Ru
1.0
4.551 0.000 0.000
0.000 2.854 -0.008
0.000 0.016 5.016
Mo Hg Ru
2 1 1
Direct
0.500 0.125 0.286
0.000 0.125 0.984
0.500 0.625 0.782
0.000 0.625 0.448
```

DOS at the Fermi energy ... 2.9 states/eV/f.u.
Formation energy from the elements ... 0.385 eV per atom
Size of the total moment ... 0.0 μB/cell